Entry 1:
MgBeSb2 after structural relaxation, computed with PBE.

a = 3.706 Å, b = 3.706 Å, c = 7.625 Å
α = 104.40°, β = 104.40°, γ = 60.06°
Positions (direct):
Mg 0.000 0.000 0.000
Be 0.500 0.500 0.500
Sb 0.235 0.235 0.703
Sb 0.765 0.765 0.297

## Properties
- M_tot (μB/f.u.) = 0.0
- E above lowest polymorph (kJ/mol of formula units) = 0
- VASP energy (eV/atom) = -3.3060

***

Entry 2:
Mg2NiPt after structural relaxation, computed with PBE.

a = 5.623 Å, b = 5.623 Å, c = 5.623 Å
α = 103.62°, β = 103.62°, γ = 121.94°
Positions (direct):
Mg 0.112 0.625 0.987
Mg 0.375 0.362 0.487
Mg 0.638 0.125 0.013
Mg 0.875 0.888 0.513
Ni 0.000 0.000 0.000
Ni 0.750 0.250 0.500
Pt 0.250 0.750 0.500
Pt 0.500 0.500 0.000

## Properties
- M_tot (μB/f.u.) = 0.0
- DFT formation energy (eV/atom) = -0.121
- VASP energy (eV/atom) = -3.8736

***

| no. | volume (Å³ per atom) |
| --- | --- |
| 1 | 21.74 |
| 2 | 16.49 |